# 1
{"formula": "NbHN3", "functional": "PBE", "state": "optimized geometry", "rho_g_cm3": 6.2, "energy_ev_per_atom": -6.424, "spacegroup": "Pm-3m", "lattice_angstrom": [[3.321, 0.000, 0.000], [0.000, 3.321, 0.000], [0.000, 0.000, 3.321]], "species": ["N", "H", "Nb", "N", "N"], "frac_coords": [[0.500, 0.000, 0.000], [0.000, 0.000, 0.000], [0.500, 0.500, 0.500], [0.000, 0.500, 0.000], [0.000, 0.000, 0.500]]}

***

# 2
{"formula": "Al2SbMo", "functional": "PBE", "state": "optimized geometry", "e_form_raw_ev_per_atom": 0.1658, "rho_g_cm3": 6.0, "spacegroup": "P4/mmm", "lattice_angstrom": [[-1.619, -1.814, -1.734], [1.109, -2.368, 1.442], [-6.381, 0.391, 5.550]], "species": ["Sb", "Al", "Mo", "Al"], "frac_coords": [[0.500, 0.500, 0.750], [0.000, 0.000, 0.454], [0.500, 0.500, 0.250], [0.000, 0.000, 0.046]]}